# Ce3FeSi6Ni2

An optimized crystal structure of Ce3FeSi6Ni2 (GGA-PBE, the Alexandria database).

As for the density of states at the Fermi level: 17.31 states/eV per cell. The formation energy from raw total energies comes out at -376 meV/atom.

The structure belongs to space group P-3m1 (No. 164); the cell edges are 5.8151, 5.8151 and 7.2708 Å and the angles 90.00°, 90.00° and 120.00°. Symmetry generates all atoms from Ce at (0.0000, 0.0000, 0.0000), Ce at (0.3333, 0.6667, 0.6901), Fe at (0.0000, 0.0000, 0.5000), Si at (0.1919, 0.3838, 0.3227) and Ni at (0.3333, 0.6667, 0.0680).